w.
An optimized crystal structure of KCuW3. Source: Alexandria, functional PBE.

Results
As for the size of the total moment: 0.00 Bohr magnetons per cell. The value obtained for the density of states at the Fermi level is 3.92 states/eV per cell. The space group is Pm-3m (221).

Unit cell a=4.487 b=4.487 c=4.487 alpha=90.00 beta=90.00 gamma=90.00
Element x y z (fractional)
K 0.000 0.000 0.000
Cu 0.500 0.500 0.500
W 0.000 0.500 0.000
W 0.000 0.000 0.500
W 0.500 0.000 0.000

***

x.
An optimized crystal structure of KCuW3. Source: Alexandria, functional PBE.

Results
As for the size of the total moment: 0.00 Bohr magnetons per cell. The value obtained for the density of states at the Fermi level is 6.06 states/eV per cell. The space group is Pm-3m (221).

Unit cell a=4.713 b=4.713 c=4.713 alpha=90.00 beta=90.00 gamma=90.00
Element x y z (fractional)
K 0.500 0.500 0.500
Cu 0.000 0.000 0.000
W 0.000 0.500 0.000
W 0.000 0.000 0.500
W 0.500 0.000 0.000

***

Most stable = x

***

w.
An optimized crystal structure of KCu2W. Source: Alexandria, functional PBE.

Results
As for the size of the total moment: 0.00 Bohr magnetons per cell. The value obtained for the density of states at the Fermi level is 3.00 states/eV per cell. The space group is C2/m (12).

Unit cell a=7.761 b=5.165 c=2.584 alpha=90.12 beta=70.38 gamma=131.85
Element x y z (fractional)
Cu 0.000 0.000 0.000
Cu 0.500 0.000 0.500
K 0.000 0.500 0.500
W 0.500 0.500 0.000

***

x.
An optimized crystal structure of KCu2W. Source: Alexandria, functional PBE.

Results
As for the size of the total moment: 0.11 Bohr magnetons per cell. The value obtained for the density of states at the Fermi level is 3.85 states/eV per cell. The space group is P4mm (99).

Unit cell a=2.755 b=2.755 c=9.290 alpha=90.00 beta=90.00 gamma=89.92
Each line ends with the local moment (μB).
Element x y z (fractional)
Cu 0.000 0.000 0.016  0.01
Cu 0.500 0.500 0.187  0.00
K 0.000 0.000 0.484  0.01
W 0.500 0.500 0.813  0.05

***

y.
An optimized crystal structure of KCu2W. Source: Alexandria, functional PBE.

Results
As for the size of the total moment: 0.00 Bohr magnetons per cell. The value obtained for the density of states at the Fermi level is 2.04 states/eV per cell. The space group is Cm (8).

Unit cell a=4.536 b=4.536 c=7.147 alpha=86.03 beta=86.03 gamma=34.08
Element x y z (fractional)
Cu 0.006 0.006 0.001
Cu 0.732 0.732 0.839
K 0.495 0.495 0.520
W 0.267 0.267 0.140

***

Most stable = x

***

w.
An optimized crystal structure of KCu2W. Source: Alexandria, functional PBE.

Results
As for the size of the total moment: 0.00 Bohr magnetons per cell. The value obtained for the density of states at the Fermi level is 5.42 states/eV per cell. The space group is I-4m2 (119).

Unit cell a=5.595 b=5.595 c=5.595 alpha=140.22 beta=140.22 gamma=57.52
Element x y z (fractional)
Cu 0.000 0.000 0.000
Cu 0.250 0.750 0.500
K 0.500 0.500 0.000
W 0.750 0.250 0.500

***

x.
An optimized crystal structure of KCu2W. Source: Alexandria, functional PBE.

Results
As for the size of the total moment: 0.00 Bohr magnetons per cell. The value obtained for the density of states at the Fermi level is 2.04 states/eV per cell. The space group is Pm (6).

Unit cell a=4.310 b=2.641 c=7.247 alpha=100.52 beta=90.00 gamma=90.00
Element x y z (fractional)
Cu 0.000 0.052 0.975
Cu 0.500 0.153 0.178
K 0.000 0.797 0.480
W 0.500 0.497 0.866

***

y.
An optimized crystal structure of KCu2W. Source: Alexandria, functional PBE.

Results
As for the size of the total moment: 0.00 Bohr magnetons per cell. The value obtained for the density of states at the Fermi level is 3.36 states/eV per cell. The space group is P4/mmm (123).

Unit cell a=2.896 b=2.896 c=8.681 alpha=90.00 beta=90.00 gamma=90.00
Element x y z (fractional)
Cu 0.000 0.000 0.944
Cu 0.000 0.000 0.556
K 0.500 0.500 0.250
W 0.500 0.500 0.750

***

Most stable = y

***

w.
An optimized crystal structure of KCuW. Source: Alexandria, functional PBE.

Results
As for the size of the total moment: 0.00 Bohr magnetons per cell. The value obtained for the density of states at the Fermi level is 3.89 states/eV per cell. The space group is P3m1 (156).

Unit cell a=2.847 b=2.847 c=8.251 alpha=90.00 beta=90.00 gamma=120.00
Element x y z (fractional)
Cu 0.000 0.000 0.968
K 0.667 0.333 0.324
W 0.333 0.667 0.708

***

x.
An optimized crystal structure of KCuW. Source: Alexandria, functional PBE.

Results
As for the size of the total moment: 4.63 Bohr magnetons per cell. The value obtained for the density of states at the Fermi level is 2.12 states/eV per cell. The space group is F-43m (216).

Unit cell a=5.109 b=5.109 c=5.109 alpha=60.00 beta=60.00 gamma=60.00
Each line ends with the local moment (μB).
Element x y z (fractional)
Cu 0.500 0.500 0.500  0.02
K 0.750 0.750 0.750  0.07
W 0.000 0.000 0.000  3.30

***

Most stable = w

***

w.
An optimized crystal structure of KCuW. Source: Alexandria, functional PBE.

Results
As for the size of the total moment: 0.00 Bohr magnetons per cell. The value obtained for the density of states at the Fermi level is 1.37 states/eV per cell. The space group is I4mm (107).

Unit cell a=7.648 b=7.649 c=2.856 alpha=79.23 beta=79.25 gamma=21.52
Element x y z (fractional)
Cu 0.025 0.025 0.975
K 0.339 0.339 0.661
W 0.636 0.636 0.364

***

x.
An optimized crystal structure of KCuW. Source: Alexandria, functional PBE.

Results
As for the size of the total moment: 4.04 Bohr magnetons per cell. The value obtained for the density of states at the Fermi level is 1.94 states/eV per cell. The space group is F-43m (216).

Unit cell a=4.803 b=4.803 c=4.803 alpha=60.00 beta=60.00 gamma=60.00
Each line ends with the local moment (μB).
Element x y z (fractional)
Cu 0.750 0.750 0.750  0.12
K 0.000 0.000 0.000  0.04
W 0.500 0.500 0.500  2.86

***

Most stable = w

***

w.
An optimized crystal structure of KCuW. Source: Alexandria, functional PBE.

Results
As for the size of the total moment: 0.00 Bohr magnetons per cell. The value obtained for the density of states at the Fermi level is 10.34 states/eV per cell. The space group is Pnma (62).

Unit cell a=9.024 b=3.162 c=10.582 alpha=90.00 beta=90.00 gamma=90.00
Element x y z (fractional)
K 0.063 0.250 0.833
K 0.437 0.750 0.333
K 0.937 0.750 0.167
K 0.563 0.250 0.667
Cu 0.769 0.250 0.395
Cu 0.731 0.750 0.895
Cu 0.231 0.750 0.605
Cu 0.269 0.250 0.105
W 0.088 0.250 0.457
W 0.412 0.750 0.957
W 0.912 0.750 0.543
W 0.588 0.250 0.043

***

x.
An optimized crystal structure of KCuW. Source: Alexandria, functional PBE.

Results
As for the size of the total moment: 0.00 Bohr magnetons per cell. The value obtained for the density of states at the Fermi level is 1.74 states/eV per cell. The space group is Imm2 (44).

Unit cell a=6.855 b=6.855 c=6.855 alpha=157.95 beta=145.65 gamma=41.20
Element x y z (fractional)
Cu 0.955 0.955 0.000
K 0.660 0.660 0.000
W 0.385 0.385 0.000

***

Most stable = w

***

w.
An optimized crystal structure of K3YCu. Source: Alexandria, functional PBE.

Results
As for the size of the total moment: 3.00 Bohr magnetons per cell. The value obtained for the density of states at the Fermi level is 20.37 states/eV per cell. The space group is Pm-3m (221).

Unit cell a=7.343 b=7.343 c=7.343 alpha=90.00 beta=90.00 gamma=90.00
Each line ends with the local moment (μB).
Element x y z (fractional)
Y 0.000 0.000 0.000  0.91
K 0.000 0.500 0.000  0.04
K 0.000 0.000 0.500  0.03
K 0.500 0.000 0.000  0.04
Cu 0.500 0.500 0.500  -0.01

***

x.
An optimized crystal structure of K3YCu. Source: Alexandria, functional PBE.

Results
As for the size of the total moment: 1.34 Bohr magnetons per cell. The value obtained for the density of states at the Fermi level is 4.33 states/eV per cell. The space group is Pm-3m (221).

Unit cell a=6.298 b=6.298 c=6.298 alpha=90.00 beta=90.00 gamma=90.00
Each line ends with the local moment (μB).
Element x y z (fractional)
Y 0.500 0.500 0.500  0.43
K 0.000 0.500 0.000  0.01
K 0.000 0.000 0.500  0.01
K 0.500 0.000 0.000  0.01
Cu 0.000 0.000 0.000  0.01

***

Most stable = x

***

w.
An optimized crystal structure of KZnCu3. Source: Alexandria, functional PBE.

Results
As for the size of the total moment: 0.00 Bohr magnetons per cell. The value obtained for the density of states at the Fermi level is 1.45 states/eV per cell. The space group is Pm-3m (221).

Unit cell a=4.743 b=4.743 c=4.743 alpha=90.00 beta=90.00 gamma=90.00
Element x y z (fractional)
Zn 0.000 0.000 0.000
K 0.500 0.500 0.500
Cu 0.000 0.500 0.000
Cu 0.000 0.000 0.500
Cu 0.500 0.000 0.000

***

x.
An optimized crystal structure of KZnCu3. Source: Alexandria, functional PBE.

Results
As for the size of the total moment: 0.00 Bohr magnetons per cell. The value obtained for the density of states at the Fermi level is 4.46 states/eV per cell. The space group is Pm-3m (221).

Unit cell a=5.229 b=5.229 c=5.229 alpha=90.00 beta=90.00 gamma=90.00
Element x y z (fractional)
Zn 0.500 0.500 0.500
K 0.000 0.000 0.000
Cu 0.000 0.500 0.000
Cu 0.000 0.000 0.500
Cu 0.500 0.000 0.000

***

Most stable = w